1.
Dy3Y2Er2Ni2Se2, optimized geometry, DFT GGA-PBE; spin magnetization = 0.011 Bohr magnetons per cell; total energy = -5.72 eV per atom
1.0
-1.900 7.568 4.654
1.900 -7.568 4.654
1.900 7.568 -4.654
Dy Y Er Ni Se
3 2 2 2 2
Direct
0.000 0.000 0.000 Dy
0.286 0.411 0.875 Dy
0.536 0.411 0.125 Dy
0.617 0.258 0.360 Y
0.898 0.258 0.640 Y
0.299 0.615 0.684 Er
0.931 0.615 0.316 Er
0.163 0.924 0.239 Ni
0.685 0.924 0.761 Ni
0.255 0.755 0.500 Se
0.661 0.661 0.000 Se


2.
SrGaGePt2, optimized geometry, DFT GGA-PBE; energy above the lowest structure with this stoichiometry = 0.016 eV/atom; spin magnetization = 0.005 Bohr magnetons per cell; total energy = -5.11 eV per atom
1.0
4.480 0.000 0.000
0.000 4.480 0.000
0.000 0.000 10.083
Sr Ga Ge Pt
2 2 2 4
Direct
0.250 0.250 0.249 Sr
0.750 0.750 0.751 Sr
0.250 0.250 0.877 Ga
0.750 0.750 0.123 Ga
0.250 0.750 0.500 Ge
0.750 0.250 0.500 Ge
0.250 0.250 0.623 Pt
0.250 0.750 0.000 Pt
0.750 0.250 0.000 Pt
0.750 0.750 0.377 Pt


3.
KTh, optimized geometry, DFT GGA-PBE; spin magnetization = 2.259 Bohr magnetons per cell; total energy = -1.52 eV per atom
1.0
0.000 3.836 3.836
3.836 0.000 3.836
3.836 3.836 0.000
K Th
1 1
Direct
0.000 0.000 0.000 K
0.750 0.750 0.750 Th


4.
TbHoSnPd2, optimized geometry, DFT GGA-PBE; spin magnetization = 0.015 Bohr magnetons per cell; total energy = -5.62 eV per atom
1.0
3.577 0.000 0.000
0.000 2.129 7.311
0.000 -2.129 7.311
Tb Ho Sn Pd
1 1 1 2
Direct
0.000 0.000 0.000 Tb
0.000 0.737 0.737 Ho
0.500 0.369 0.369 Sn
0.500 0.179 0.179 Pd
0.500 0.560 0.560 Pd


5.
SrHfCu, optimized geometry, DFT GGA-PBE; energy above the lowest structure with this stoichiometry = 0.000 eV/atom; spin magnetization = 0.027 Bohr magnetons per cell; total energy = -4.41 eV per atom
1.0
0.000 3.414 3.414
3.414 0.000 3.414
3.414 3.414 0.000
Sr Hf Cu
1 1 1
Direct
0.000 0.000 0.000 Sr
0.500 0.500 0.500 Hf
0.750 0.750 0.750 Cu


6.
La2Zn2Cl, optimized geometry, DFT GGA-PBE; spin magnetization = 0.047 Bohr magnetons per cell; total energy = -3.68 eV per atom
1.0
4.366 0.000 0.000
-2.183 3.781 0.000
0.000 0.000 7.764
La Zn Cl
2 2 1
Direct
0.000 0.000 0.246 La
0.000 0.000 0.754 La
0.333 0.667 0.000 Zn
0.667 0.333 0.000 Zn
0.667 0.333 0.500 Cl


7.
SnB3W4, optimized geometry, DFT GGA-PBE; spin magnetization = 0.005 Bohr magnetons per cell; total energy = -9.54 eV per atom
1.0
3.177 0.000 0.000
-1.588 2.751 0.000
0.000 0.000 24.254
Sn B W
2 6 8
Direct
0.333 0.667 0.250 Sn
0.667 0.333 0.750 Sn
0.000 0.000 0.000 B
0.000 0.000 0.500 B
0.333 0.667 0.607 B
0.333 0.667 0.893 B
0.667 0.333 0.107 B
0.667 0.333 0.393 B
0.000 0.000 0.154 W
0.000 0.000 0.346 W
0.000 0.000 0.654 W
0.000 0.000 0.846 W
0.333 0.667 0.055 W
0.333 0.667 0.445 W
0.667 0.333 0.555 W
0.667 0.333 0.945 W


8.
BMo2Os, optimized geometry, DFT GGA-PBE; spin magnetization = 0.003 Bohr magnetons per cell; total energy = -9.35 eV per atom
1.0
0.000 2.999 2.999
2.999 0.000 2.999
2.999 2.999 0.000
B Mo Os
1 2 1
Direct
0.000 0.000 0.000 B
0.500 0.500 0.500 Mo
0.750 0.750 0.750 Mo
0.250 0.250 0.250 Os


9.
CsAgPtSe3, optimized geometry, DFT GGA-PBE; energy above the lowest structure with this stoichiometry = 0.101 eV/atom; spin magnetization = 0.027 Bohr magnetons per cell; total energy = -3.74 eV per atom
1.0
1.968 -7.970 0.000
1.968 7.970 0.000
0.000 0.000 10.606
Cs Ag Pt Se
2 2 2 6
Direct
0.244 0.756 0.750 Cs
0.756 0.244 0.250 Cs
0.445 0.555 0.250 Ag
0.555 0.445 0.750 Ag
0.000 0.000 0.000 Pt
0.000 0.000 0.500 Pt
0.055 0.945 0.250 Se
0.398 0.602 0.016 Se
0.398 0.602 0.484 Se
0.602 0.398 0.516 Se
0.602 0.398 0.984 Se
0.945 0.055 0.750 Se


10.
Na2In4CuAu, optimized geometry, DFT GGA-PBE; total energy = -2.76 eV per atom
1.0
7.896 0.000 0.000
0.000 2.243 5.228
0.000 -2.243 5.228
Na In Cu Au
2 4 1 1
Direct
0.000 0.000 0.000 Na
0.500 0.139 0.139 Na
0.190 0.710 0.710 In
0.294 0.427 0.427 In
0.706 0.427 0.427 In
0.810 0.710 0.710 In
0.000 0.286 0.286 Cu
0.500 0.853 0.853 Au


11.
Zn3Au, optimized geometry, DFT GGA-PBE; formation energy from the elements = -0.1569 eV/atom; total energy = -1.92 eV per atom
1.0
4.475 0.000 0.000
0.000 5.630 0.000
0.000 0.000 4.859
Zn Au
6 2
Direct
0.250 0.001 0.165 Zn
0.250 0.499 0.165 Zn
0.250 0.750 0.669 Zn
0.750 0.250 0.331 Zn
0.750 0.501 0.835 Zn
0.750 0.999 0.835 Zn
0.250 0.250 0.664 Au
0.750 0.750 0.336 Au


12.
Co2AsW, optimized geometry, DFT GGA-PBE; spin magnetization = 0.096 Bohr magnetons per cell; total energy = -7.74 eV per atom
1.0
0.000 2.944 2.944
2.944 0.000 2.944
2.944 2.944 0.000
Co As W
2 1 1
Direct
0.000 0.000 0.000 Co
0.250 0.250 0.250 Co
0.500 0.500 0.500 As
0.750 0.750 0.750 W